This record from the Alexandria database describes an optimized crystal structure of CdSn2F6. The functional is PBE.

The structure belongs to space group C2/c (No. 15); the cell edges are 9.8062, 11.6720 and 5.3638 Å and the angles 90.00°, 104.22° and 90.00°. The distinct sites, in fractional coordinates, are Cd at (0.0000, 0.1266, 0.2500), Sn at (0.1740, 0.3844, 0.1115), F at (0.1218, 0.3065, 0.4330), F at (0.1377, 0.1966, 0.9942) and F at (0.1438, 0.0459, 0.5964).

As for the crystal system: monoclinic. For the excess energy over the best structure of this formula in the dataset, the calculation gives 0.4 kJ/mol of atoms.

=====

This record from the Alexandria database describes an optimized crystal structure of Cd2SnF. The functional is PBE.

The structure belongs to space group R-3m (No. 166, hexagonal axes); the cell edges are 3.2753, 3.2753 and 27.2854 Å and the angles 90.00°, 90.00° and 120.00°. The distinct sites, in fractional coordinates, are Cd at (0.0000, 0.0000, 0.2331), Sn at (0.0000, 0.0000, 0.0000) and F at (0.0000, 0.0000, 0.5000).

As for the crystal system: trigonal. For the excess energy over the best structure of this formula in the dataset, the calculation gives 0.0 kJ/mol of atoms.

=====

This record from the Alexandria database describes an optimized crystal structure of Cd2SnF6. The functional is PBE.

The structure belongs to space group C2/m (No. 12); the cell edges are 11.6473, 4.2344 and 7.5804 Å and the angles 90.00°, 120.62° and 90.00°. The distinct sites, in fractional coordinates, are Cd at (0.1776, 0.0000, 0.1187), Sn at (0.0000, 0.0000, 0.5000), F at (0.0149, 0.0000, 0.1944), F at (0.1356, 0.5000, 0.5796) and F at (0.2405, 0.5000, 0.1158).

As for the crystal system: monoclinic. For the excess energy over the best structure of this formula in the dataset, the calculation gives 1.3 kJ/mol of atoms.

=====

This record from the Alexandria database describes an optimized crystal structure of CdSn2F4. The functional is PBE.

The structure belongs to space group I4/mmm (No. 139); the cell edges are 4.3376, 4.3376 and 18.4259 Å and the angles 90.00°, 90.00° and 90.00°. The distinct sites, in fractional coordinates, are Cd at (0.0000, 0.0000, 0.0000), Sn at (0.0000, 0.0000, 0.2427), F at (0.0000, 0.0000, 0.1342) and F at (0.0000, 0.5000, 0.0000).

As for the crystal system: tetragonal.

=====

This record from the Alexandria database describes an optimized crystal structure of Cd6Sn4F19. The functional is PBE.

The structure belongs to space group I23 (No. 197); the cell edges are 10.0754, 10.0754 and 10.0754 Å and the angles 90.00°, 90.00° and 90.00°. The distinct sites, in fractional coordinates, are Cd at (0.0000, 0.1715, 0.5000), Sn at (0.1478, 0.1478, 0.1478), F at (0.0000, 0.0000, 0.0000), F at (0.0000, 0.0000, 0.3501) and F at (0.0717, 0.2826, 0.3126).

As for the crystal system: cubic.

=====

This record from the Alexandria database describes an optimized crystal structure of Cd3SnF. The functional is PBE.

The structure belongs to space group Pm-3m (No. 221); the cell edges are 4.8852, 4.8852 and 4.8852 Å and the angles 90.00°, 90.00° and 90.00°. The distinct sites, in fractional coordinates, are Cd at (0.0000, 0.0000, 0.5000), Sn at (0.5000, 0.5000, 0.5000) and F at (0.0000, 0.0000, 0.0000).

As for the crystal system: cubic. For the excess energy over the best structure of this formula in the dataset, the calculation gives 0.0 kJ/mol of atoms.

=====

This record from the Alexandria database describes an optimized crystal structure of CdSnF. The functional is PBE.

The structure belongs to space group Pmmn (No. 59, origin choice 2); the cell edges are 3.0305, 3.9534 and 10.6293 Å and the angles 90.00°, 90.00° and 90.00°. The distinct sites, in fractional coordinates, are Cd at (0.2500, 0.2500, 0.0858), Sn at (0.2500, 0.7500, 0.3294) and F at (0.2500, 0.2500, 0.4407).

As for the crystal system: orthorhombic. For the excess energy over the best structure of this formula in the dataset, the calculation gives 1.6 kJ/mol of atoms.

=====

This record from the Alexandria database describes an optimized crystal structure of Cd2SnF6. The functional is PBE.

The structure belongs to space group P-31m (No. 162); the cell edges are 5.9399, 5.9399 and 4.9943 Å and the angles 90.00°, 90.00° and 120.00°. The distinct sites, in fractional coordinates, are Cd at (0.3333, 0.6667, 0.0000), Sn at (0.0000, 0.0000, 0.5000) and F at (0.0000, 0.3404, 0.2330).

As for the crystal system: trigonal. For the excess energy over the best structure of this formula in the dataset, the calculation gives 0.0 kJ/mol of atoms.

=====

This record from the Alexandria database describes an optimized crystal structure of CdSnF6. The functional is PBE.

The structure belongs to space group R-3 (No. 148, hexagonal axes); the cell edges are 5.4481, 5.4481 and 14.9834 Å and the angles 90.00°, 90.00° and 120.00°. The distinct sites, in fractional coordinates, are Cd at (0.0000, 0.0000, 0.0000), Sn at (0.0000, 0.0000, 0.5000) and F at (0.0226, 0.3808, 0.2444).

As for the crystal system: trigonal.

=====

This record from the Alexandria database describes an optimized crystal structure of CdSnF. The functional is PBE.

The structure belongs to space group P3m1 (No. 156); the cell edges are 3.3617, 3.3617 and 6.7664 Å and the angles 90.00°, 90.00° and 120.00°. The distinct sites, in fractional coordinates, are Cd at (0.0000, 0.0000, 0.0000), Sn at (0.3333, 0.6667, 0.6263) and F at (0.6667, 0.3333, 0.1972).

As for the crystal system: trigonal. For the excess energy over the best structure of this formula in the dataset, the calculation gives 0.0 kJ/mol of atoms.

=====

This record from the Alexandria database describes an optimized crystal structure of Cd2SnF. The functional is PBE.

The structure belongs to space group I-42d (No. 122); the cell edges are 5.6327, 5.6327 and 13.5315 Å and the angles 90.00°, 90.00° and 90.00°. The distinct sites, in fractional coordinates, are Cd at (0.1746, 0.2500, 0.1250), Sn at (0.0000, 0.0000, 0.5000) and F at (0.0000, 0.0000, 0.0000).

As for the crystal system: tetragonal. For the excess energy over the best structure of this formula in the dataset, the calculation gives 9.0 kJ/mol of atoms.

=====

This record from the Alexandria database describes an optimized crystal structure of Cd2Sn2F7. The functional is PBE.

The structure belongs to space group Fd-3m (No. 227, origin choice 2); the cell edges are 11.4649, 11.4649 and 11.4649 Å and the angles 90.00°, 90.00° and 90.00°. The distinct sites, in fractional coordinates, are Cd at (0.0000, 0.0000, 0.0000), Sn at (0.0000, 0.0000, 0.5000), F at (0.1088, 0.3750, 0.3750) and F at (0.1250, 0.1250, 0.6250).

As for the crystal system: cubic.

=====

no.,total DFT energy (no corrections) (eV per atom),ΔE_f (raw) (kcal/mol of atoms),total magnetic moment (μB/f.u.)
1,-4.4457,-50.9,0.000
2,-2.5957,-15.4,0.000
3,-4.0834,-50.4,0.000
4,-3.9633,-37.3,0.000
5,-4.0701,-48.5,0.000
6,-2.0685,-7.9,0.000
7,-3.1701,-20.9,0.000
8,-4.0964,-50.7,0.000
9,-4.4185,-55.4,0.000
10,-3.1863,-21.3,0.000
11,-2.5025,-13.3,0.000
12,-4.0948,-46.3,0.000